Below is a geometry-optimized AlMoNO2 structure, with properties calculated at the PBE+U level.

Results
electronic total energy = -6.635 eV per atom
volume = 10.2 Å³/atom

Lattice parameters (Å, degrees): 3.6256 3.6256 3.8709 90.00 90.00 90.00
Last column: nearest neighbours and their distance in Å.
Fractional positions:
Al1 0.0000 0.0000 0.0000  4 O 1.81, 2 N 1.94
Mo1 0.5000 0.5000 0.5000  4 N 2.56, 8 O 2.65
N1 0.0000 0.0000 0.5000  2 Al 1.94
O1 0.0000 0.5000 0.0000  2 Al 1.81
O2 0.5000 0.0000 0.0000  2 Al 1.81